No. 1
VASP calculation (PBE) on a geometry-optimized RbSmCu2Br8 structure.

```
12
Lattice="-1.1625 -6.1327 -2.9745 0.1557 -3.0406 6.2080 -7.2555 5.6988 -0.8774" Properties=species:S:1:pos:R:3 pbc="T T T"
Cu -0.5034 -4.5866 1.6168
Cu -3.8016 -0.9642 3.4737
Br -1.9504 -5.9418 3.0420
Br -3.0160 -2.9527 4.6062
Br -4.3898 0.3597 5.4115
Br -1.7536 -2.8448 0.4486
Br -2.7172 0.7563 2.1631
Br -5.0833 -2.0200 1.7141
Br -6.0817 2.1875 2.1508
Br -6.7389 -0.3498 -0.9291
Sm -4.4607 -2.5102 -1.1176
Rb 0.0000 0.0000 0.0000
```

Results
space-group type: I-4
E_form (uncorrected): -963 meV per atom
N(E_F): 1.076 states/eV per atom

***

No. 2
VASP calculation (PBE) on a geometry-optimized RbSmCu2Br6 structure.

```
20
Lattice="8.9429 -1.0165 0.0716 -2.1037 8.7511 0.0716 -1.9445 -2.1991 8.7902" Properties=species:S:1:pos:R:3 pbc="T T T"
Br 3.7751 4.0649 8.0743
Br 0.8836 5.6914 6.9662
Br 4.0110 -0.1559 1.9673
Br 1.1393 3.7783 3.8577
Br 2.2565 5.0418 0.6807
Br 4.5444 5.3439 3.6792
Br 2.6382 0.4938 8.2527
Br 0.3502 0.1916 5.2543
Br -1.6180 2.8622 6.3624
Br 3.7554 1.7572 5.0758
Br 1.1196 1.4706 0.8592
Br 6.5127 2.6733 2.5711
Cu 1.7260 -1.1633 6.5158
Cu 3.1686 6.6989 2.4177
Cu -0.3937 2.6702 2.1207
Cu 5.2883 2.8654 6.8128
Rb -1.1168 6.8989 2.2692
Rb 6.0115 -1.3633 6.6643
Sm 1.3610 2.7487 6.6643
Sm 3.5336 2.7869 2.2692
```

Results
space-group type: C2/c
E_form (uncorrected): -1151 meV per atom
N(E_F): 0.000 states/eV per atom

***

No. 3
VASP calculation (PBE) on a geometry-optimized RbCuSnBr6 structure.

```
18
Lattice="-3.6010 -3.4925 4.8828 2.6591 -3.4167 -5.5011 13.0994 -2.4907 7.8790" Properties=species:S:1:pos:R:3 pbc="T T T"
Br -0.6203 -5.1265 4.0291
Br 2.6387 -6.4944 4.1643
Br 2.3015 -3.0756 5.8055
Br 12.7779 -4.2734 3.2317
Br 7.9527 -5.9656 4.7330
Br 11.5061 -7.7116 4.2593
Br 10.7703 -4.6795 6.4411
Br 9.5189 -2.9055 3.0965
Br 9.8560 -6.3243 1.4552
Br 0.6515 -1.6882 3.0014
Br 4.2049 -3.4343 2.5277
Br 1.3872 -4.7204 0.8197
Rb 6.5497 -1.2453 3.9395
Rb 0.0000 0.0000 0.0000
Cu 3.8473 -4.0646 -0.0700
Cu 8.3103 -5.3352 7.3308
Sn 1.7606 -4.0899 3.3913
Sn 10.3970 -5.3100 3.8695
```

Results
space-group type: P-31c
E_form (uncorrected): -777 meV per atom
N(E_F): 1.034 states/eV per atom

***

No. 4
VASP calculation (PBE) on a geometry-optimized RbCuSnBr2 structure.

```
5
Lattice="-1.1656 -5.9028 -1.0683 6.4757 -1.3347 0.3096 -0.4915 -0.9906 6.0100" Properties=species:S:1:pos:R:3 pbc="T T T"
Br -0.5828 -2.9514 -0.5341
Br -0.2457 -0.4953 3.0050
Sn 3.2378 -0.6674 0.1548
Cu 2.4093 -4.1141 2.6256
Rb 0.0000 0.0000 0.0000
```

Results
space-group type: P4/mmm
E_form (uncorrected): 588 meV per atom
N(E_F): 0.963 states/eV per atom

***

No. 5
VASP calculation (PBE) on a geometry-optimized RbCuSnBr5 structure.

```
16
Lattice="-3.8524 3.9756 -5.5570 -4.9471 -5.4582 2.6945 0.7552 7.0254 8.1321" Properties=species:S:1:pos:R:3 pbc="T T T"
Br -3.1873 2.9965 8.5141
Br -4.8571 2.5462 -3.2445
Br -3.3575 8.6291 1.0805
Br -2.9358 4.9046 -0.2933
Br -5.6422 2.5707 0.8608
Br -2.4022 2.9721 4.4088
Br -4.6869 -3.0863 4.1892
Br -5.4163 4.7756 6.0708
Br -5.1085 0.6382 5.5630
Br -2.6280 0.7672 -0.8011
Cu -4.0027 2.8101 -0.9683
Cu -4.0417 2.7327 6.2379
Rb -3.6583 6.0366 3.3481
Rb -4.3861 -0.4938 1.9216
Sn 0.3776 3.5127 4.0661
Sn 0.0000 0.0000 0.0000
```

Results
space-group type: C2/c
E_form (uncorrected): -855 meV per atom
N(E_F): 0.423 states/eV per atom

***

No. 6
VASP calculation (PBE) on a geometry-optimized Rb4Cu3SnBr12 structure.

```
20
Lattice="9.2435 0.0000 0.0000 -3.0812 8.7148 0.0000 -3.0812 -4.3574 7.5473" Properties=species:S:1:pos:R:3 pbc="T T T"
Br -4.5962 3.2500 5.6292
Br 1.5406 -1.0894 5.6604
Br 1.5661 -1.1074 1.9181
Br 1.5406 5.4468 1.8868
Br -1.5661 1.1074 1.9181
Br -1.5406 4.3574 3.7736
Br 4.6217 3.2681 1.8868
Br 4.6217 0.0000 3.7736
Br 1.5661 2.2148 0.0000
Br 4.5962 6.5000 0.0000
Br -1.5406 1.0894 5.6604
Br 4.5962 -3.2500 5.6292
Rb 1.5406 2.1787 3.7736
Rb -1.5406 4.3574 0.0000
Rb 4.6217 0.0000 0.0000
Rb -1.5406 -2.1787 3.7736
Cu 3.0812 -2.1787 3.7736
Cu -3.0812 2.1787 3.7736
Cu 3.0812 4.3574 0.0000
Sn 0.0000 0.0000 0.0000
```

Results
space-group type: Im-3m
E_form (uncorrected): -941 meV per atom
N(E_F): 0.316 states/eV per atom

***

No. 7
VASP calculation (PBE) on a geometry-optimized RbCuSnBr4 structure.

```
14
Lattice="-2.2456 4.2056 -4.6645 -2.6540 -6.0421 -4.1700 -6.7531 -1.5115 6.4880" Properties=species:S:1:pos:R:3 pbc="T T T"
Br -7.5940 -6.9410 0.4567
Br -5.3202 0.7210 -4.7854
Br -6.3325 -4.0690 2.4388
Br -6.8886 -3.5038 -1.4993
Br -4.0587 3.5930 -2.8032
Br -7.6258 -0.3243 1.6698
Br -4.7641 0.1558 -0.8472
Br -4.0269 -3.0237 -4.0164
Sn -4.8789 -1.4619 1.5699
Sn -6.7738 -1.8861 -3.9165
Rb -10.0076 -2.8277 -0.4940
Rb -1.6451 -0.5203 -1.8526
Cu -4.5852 -4.2677 -1.8586
Cu -7.0675 0.9197 -0.4880
```

Results
space-group type: P2_1/m
E_form (uncorrected): -893 meV per atom
N(E_F): 0.000 states/eV per atom

***

No. 8
VASP calculation (PBE) on a geometry-optimized Rb3Cu2SnBr9 structure.

```
15
Lattice="-6.0057 -1.6872 4.3247 4.1170 -5.5646 -3.1151 5.4969 -0.1694 7.5674" Properties=species:S:1:pos:R:3 pbc="T T T"
Br 2.3325 -1.6538 6.0370
Br -0.9443 -3.6259 0.6048
Br 1.2757 -5.7673 2.7401
Br 2.0585 -2.7823 -1.5575
Br 4.1773 -4.9522 0.6506
Br 1.4200 -5.1575 6.6214
Br 2.1882 -2.2636 2.1556
Br -0.5691 -2.4690 8.1265
Br -3.0029 -0.8436 2.1624
Sn 2.7484 -0.0847 3.7837
Cu 1.5410 -4.2967 0.4638
Cu 2.0672 -3.1244 8.3133
Rb 0.0000 0.0000 0.0000
Rb -0.8892 -3.0333 4.2433
Rb 4.4974 -4.3878 4.5337
```

Results
space-group type: P-3m1
E_form (uncorrected): -980 meV per atom
N(E_F): 0.454 states/eV per atom

***

No. 9
VASP calculation (PBE) on a geometry-optimized Rb2SrCu2Br6 structure.

```
11
Lattice="7.9388 0.0000 0.0000 -3.9694 6.8276 -0.1426 0.0000 -4.0771 7.3831" Properties=species:S:1:pos:R:3 pbc="T T T"
Br 1.9821 5.2692 1.2682
Br 3.9694 0.8607 4.6169
Br 1.9873 -2.5186 5.9723
Br 5.9515 -2.5186 5.9723
Br 0.0000 1.8898 2.6235
Br -1.9821 5.2692 1.2682
Rb 0.0000 0.4998 5.8198
Rb 3.9694 2.2507 1.4207
Cu 0.0000 -0.2634 1.6258
Cu 3.9694 3.0140 5.6146
Sr 3.9694 -2.0385 3.6915
```

Results
space-group type: C2/m
E_form (uncorrected): -1288 meV per atom
N(E_F): 0.000 states/eV per atom

***

No. 10
VASP calculation (PBE) on a geometry-optimized Rb2TaCuBr6 structure.

```
10
Lattice="-7.1128 -1.8515 -1.7161 -1.1457 -2.2042 7.1269 -5.7262 2.9253 3.9806" Properties=species:S:1:pos:R:3 pbc="T T T"
Br -9.0481 -1.6065 6.0414
Br -2.0502 -1.0068 1.3432
Br -2.6270 -2.1166 4.9317
Br -4.9366 0.4761 3.3500
Br -5.6315 -1.9390 0.4792
Br -6.2083 -3.0488 4.0676
Ta 0.0000 0.0000 0.0000
Cu -4.1292 -2.0278 2.7054
Rb -8.4841 -0.4770 2.4850
Rb -5.5006 -0.6534 6.9065
```

Results
space-group type: I4/mmm
E_form (uncorrected): -934 meV per atom
N(E_F): 0.789 states/eV per atom

***

No. 11
VASP calculation (PBE) on a geometry-optimized RbTaCu2Br8 structure.

```
12
Lattice="6.4602 0.0000 0.0000 3.2301 5.5947 0.0000 3.2301 1.8649 11.6307" Properties=species:S:1:pos:R:3 pbc="T T T"
Br 5.3976 5.3874 4.1606
Br 5.3976 2.0722 7.4701
Br 3.2301 1.8649 0.9542
Br 8.4269 3.6384 7.4701
Br 5.5559 1.9808 4.1606
Br 8.4269 3.8212 4.1606
Br 9.6903 5.5947 10.6764
Br 5.5560 5.4788 7.4701
Rb 0.0000 0.0000 0.0000
Cu 3.2301 1.8649 3.2779
Cu 9.6903 5.5947 8.3527
Ta 6.4602 3.7298 5.8153
```

Results
space-group type: R32
E_form (uncorrected): -726 meV per atom

***

No. 12
VASP calculation (PBE) on a geometry-optimized Rb2CuTcBr6 structure.

```
10
Lattice="-0.0934 7.8746 0.1423 -7.4196 -0.1357 2.6399 -1.9720 3.8001 6.4030" Properties=species:S:1:pos:R:3 pbc="T T T"
Br -1.7656 6.0463 0.7123
Br -2.9751 3.8391 3.5858
Br -1.7148 1.7664 0.6350
Br -5.7983 5.9725 2.1472
Br -6.5100 7.6999 5.5993
Br -5.7475 1.6926 2.0698
Rb -6.5741 3.7669 5.2170
Rb -2.9110 7.7721 3.9682
Tc 0.0000 0.0000 0.0000
Cu -3.7565 3.8694 1.3911
```

Results
space-group type: I4/mmm
E_form (uncorrected): -837 meV per atom

***

No. 13
VASP calculation (PBE) on a geometry-optimized RbCuTeBr2 structure.

```
5
Lattice="-3.4616 -0.8865 -5.2101 -4.6652 -3.2636 3.6548 -2.9922 5.4626 1.0585" Properties=species:S:1:pos:R:3 pbc="T T T"
Cu -5.5595 0.6563 -0.2484
Te -2.3326 -1.6318 1.8274
Rb 0.0000 0.0000 0.0000
Br -1.7308 -0.4433 -2.6051
Br -1.4961 2.7313 0.5293
```

Results
space-group type: P4/mmm
E_form (uncorrected): 538 meV per atom
N(E_F): 2.340 states/eV per atom

***

No. 14
VASP calculation (PBE) on a geometry-optimized RbTiCuBr6 structure.

```
9
Lattice="7.2337 0.3868 0.1960 3.9515 6.0709 -0.1953 0.2114 -0.3649 7.4785" Properties=species:S:1:pos:R:3 pbc="T T T"
Br 4.5386 0.4724 1.9097
Br 8.8824 2.7634 2.6407
Br 4.8595 3.9883 2.4448
Br 2.8892 3.3291 5.5691
Br 6.0944 1.8494 5.0342
Br 7.0450 5.9451 4.8387
Rb 0.6077 -0.1355 7.4784
Ti 3.8950 2.0053 3.7395
Cu 6.9840 3.7888 3.7393
```

Results
space-group type: C2
E_form (uncorrected): -1079 meV per atom

***

No. 15
VASP calculation (PBE) on a geometry-optimized RbTl2Cu2Br6 structure.

```
11
Lattice="-3.4361 0.4161 -6.8043 -2.6993 -2.8413 5.4718 -1.1721 10.0983 1.2094" Properties=species:S:1:pos:R:3 pbc="T T T"
Cu -0.6139 3.0659 0.4975
Cu -6.6936 4.6072 -0.6206
Br -2.3167 4.3474 1.4358
Br -4.9665 -0.3511 0.3721
Br -3.2699 -0.5566 3.7317
Br -4.0376 8.2297 -3.8547
Br -4.9907 3.3258 -1.5588
Br -2.3410 8.0242 -0.4951
Tl -3.4953 0.5139 -2.4859
Tl -3.8121 7.1592 2.3629
Rb -2.3041 5.2572 -2.7974
```

Results
space-group type: C2/m
E_form (uncorrected): -749 meV per atom
N(E_F): 0.559 states/eV per atom

***

No. 16
VASP calculation (PBE) on a geometry-optimized Rb3Tl2CuBr9 structure.

```
15
Lattice="7.9065 0.0000 0.0000 -3.9533 6.8473 0.0000 0.0000 0.0000 9.7001" Properties=species:S:1:pos:R:3 pbc="T T T"
Tl 3.9533 2.2824 7.8924
Tl 0.0000 4.5648 1.8078
Br 3.9533 4.7141 6.3567
Br -2.1059 5.7807 3.3434
Br 2.1059 5.7807 3.3434
Br 3.9533 0.0000 0.0000
Br 6.0592 1.0666 6.3567
Br 1.8474 1.0666 6.3567
Br -1.9766 3.4236 0.0000
Br 0.0000 2.1331 3.3434
Br 1.9766 3.4236 0.0000
Rb 0.0000 0.0000 0.0000
Rb 3.9533 2.2824 3.2634
Rb 0.0000 4.5648 6.4367
Cu 0.0000 0.0000 4.8501
```

Results
space-group type: P-3m1
E_form (uncorrected): -1000 meV per atom
N(E_F): 0.106 states/eV per atom

***

No. 17
VASP calculation (PBE) on a geometry-optimized RbTlCuBr4 structure.

```
14
Lattice="-0.3978 -4.7939 -5.5474 2.2844 -5.3053 4.4210 -8.5675 0.1878 4.6523" Properties=species:S:1:pos:R:3 pbc="T T T"
Br 0.4521 -5.9165 1.6423
Br -7.1330 -3.9949 1.8836
Br -5.5478 -2.5602 5.8520
Br -4.4338 -5.1475 8.0080
Br -2.2471 -4.7640 -4.4821
Br -3.5670 -4.3581 -0.3948
Br -3.1138 -5.5533 3.9207
Br -1.1331 -7.3512 -2.3261
Rb -4.1972 -2.2558 2.4537
Rb -2.4837 -7.6556 1.0722
Cu -5.8517 -4.9399 0.0875
Cu -0.8292 -4.9715 3.4384
Tl -6.5523 -7.2511 3.6600
Tl -0.1286 -2.6603 -0.1341
```

Results
space-group type: P2_1/m
E_form (uncorrected): -854 meV per atom
N(E_F): 0.913 states/eV per atom

***

No. 18
VASP calculation (PBE) on a geometry-optimized RbTl2CuBr5 structure.

```
18
Lattice="8.9401 0.0000 0.0000 0.0000 8.9401 0.0000 -4.4700 -4.4700 7.5890" Properties=species:S:1:pos:R:3 pbc="T T T"
Br 4.4700 4.4700 0.0000
Br 5.7701 -1.3001 2.2281
Br 3.1699 -1.3001 5.3609
Br -1.3001 5.7701 5.3609
Br -1.3001 3.1699 2.2281
Br 1.3001 5.7701 2.2281
Br 0.0000 0.0000 0.0000
Br 1.3001 3.1699 5.3609
Br 3.1699 1.3001 2.2281
Br 5.7701 1.3001 5.3609
Cu 4.4700 0.0000 3.7945
Cu 0.0000 4.4700 3.7945
Tl 2.9824 7.4524 0.0000
Tl 1.4877 2.9824 0.0000
Tl 5.9577 1.4877 0.0000
Tl 7.4524 5.9577 0.0000
Rb 0.0000 0.0000 3.7945
Rb 4.4700 4.4700 3.7945
```

Results
space-group type: I4/mcm
E_form (uncorrected): -858 meV per atom
N(E_F): 1.002 states/eV per atom

***

No. 19
VASP calculation (PBE) on a geometry-optimized RbTlCu2Br structure.

```
5
Lattice="5.0121 0.0000 0.0000 0.0000 9.0437 0.0000 0.0000 0.0000 5.0121" Properties=species:S:1:pos:R:3 pbc="T T T"
Tl 0.0000 0.0000 0.0000
Cu 0.0000 0.0000 2.5060
Cu 2.5060 0.0000 0.0000
Rb 0.0000 4.5218 0.0000
Br 2.5060 4.5218 2.5060
```

Results
space-group type: P4/mmm
E_form (uncorrected): 99 meV per atom
N(E_F): 0.316 states/eV per atom

***

No. 20
VASP calculation (PBE) on a geometry-optimized RbTl2Cu2Br7 structure.

```
12
Lattice="7.2622 0.0000 0.0000 3.6311 6.2892 0.0000 3.6311 2.0964 10.7595" Properties=species:S:1:pos:R:3 pbc="T T T"
Br 5.9614 2.0054 7.7958
Br 6.0182 6.4130 7.7958
Br 9.8069 4.2256 2.9637
Br 0.0000 0.0000 0.0000
Br 6.0182 1.9726 2.9637
Br 9.8069 4.1600 7.7958
Br 5.9614 6.3802 2.9637
Rb 7.2622 4.1928 5.3798
Cu 3.6311 2.0964 8.2825
Cu 10.8933 6.2892 2.4770
Tl 3.6311 2.0964 0.9607
Tl 10.8933 6.2892 9.7988
```

Results
space-group type: R32
E_form (uncorrected): -663 meV per atom
N(E_F): 0.997 states/eV per atom

***

Number 1: VASP energy -3.2349 eV/atom. Number 2: VASP energy -3.5430 eV/atom. Number 3: VASP energy -2.8995 eV/atom. Number 4: VASP energy -1.8944 eV/atom. Number 5: VASP energy -3.0336 eV/atom. Number 6: VASP energy -2.9530 eV/atom. Number 7: VASP energy -3.1439 eV/atom. Number 8: VASP energy -2.9904 eV/atom. Number 9: VASP energy -3.2745 eV/atom. Number 10: VASP energy -3.7264 eV/atom. Number 11: VASP energy -3.5924 eV/atom. Number 12: VASP energy -3.4805 eV/atom. Number 13: VASP energy -1.7718 eV/atom. Number 14: VASP energy -3.6336 eV/atom. Number 15: VASP energy -2.9243 eV/atom. Number 16: VASP energy -2.7856 eV/atom. Number 17: VASP energy -2.8712 eV/atom. Number 18: VASP energy -2.8761 eV/atom. Number 19: VASP energy -2.5408 eV/atom. Number 20: VASP energy -2.7969 eV/atom.